[1]
Entry from Alexandria via LeMat-Bulk: LaSiAs2 after structural relaxation (PBE).

**ΔE_f (raw)**: -640 meV/atom

abc: 4.1483 6.1978 6.1978
angles: 40.48 90.00 90.00
Closest atoms and distances in Å follow each position.
Element x y z (fractional)
La: 0.0000 0.0000 0.0000  7 As 3.12-3.37, 4 Si 3.30
Si: 0.5000 0.3787 0.3787  3 As 2.31-2.39
As: 0.0000 0.2770 0.2770  2 Si 2.39
As: 0.5000 0.5775 0.5775  1 Si 2.31

[2]
Entry from Alexandria via LeMat-Bulk: LaSiAs2 after structural relaxation (PBE).

**ΔE_f (raw)**: -554 meV/atom

abc: 5.4292 5.4292 5.0073
angles: 109.52 109.52 40.71
Closest atoms and distances in Å follow each position.
Element x y z (fractional)
La: 0.0000 0.0000 0.0000  8 As 3.14-3.39, 4 Si 3.24-3.34
Si: 0.2243 0.2243 0.6505  4 As 2.53-2.73
As: 0.5177 0.5177 0.5135  2 Si 2.73, 3 As 2.95-2.99
As: 0.7794 0.7794 0.3711  2 Si 2.53

[3]
Entry from Alexandria via LeMat-Bulk: La3SiAs after structural relaxation (PBE).

**ΔE_f (raw)**: -340 meV/atom

abc: 5.6236 5.6236 5.6236
angles: 90.00 90.00 90.00
Closest atoms and distances in Å follow each position.
Element x y z (fractional)
La: 0.0000 0.0000 0.5000  2 As 2.81
La: 0.0000 0.5000 0.0000  2 As 2.81
La: 0.5000 0.0000 0.0000  2 As 2.81
Si: 0.5000 0.5000 0.5000  12 La 3.98
As: 0.0000 0.0000 0.0000  6 La 2.81

[4]
Entry from Alexandria via LeMat-Bulk: LaSi2As after structural relaxation (PBE).

**ΔE_f (raw)**: -224 meV/atom

abc: 5.7787 5.7787 5.7787
angles: 138.03 138.03 60.86
Closest atoms and distances in Å follow each position.
Element x y z (fractional)
La: 0.0000 0.0000 0.0000  4 As 2.93, 8 Si 3.24
Si: 0.2500 0.7500 0.5000  4 Si 2.93, 4 As 3.24, 4 La 3.24
Si: 0.7500 0.2500 0.5000  4 Si 2.93, 4 As 3.24, 4 La 3.24
As: 0.5000 0.5000 0.0000  4 La 2.93, 8 Si 3.24

[5]
Entry from Alexandria via LeMat-Bulk: LaSi2As after structural relaxation (PBE).

**ΔE_f (raw)**: 106 meV/atom

abc: 8.1913 8.1913 8.1913
angles: 25.58 25.58 25.58
Closest atoms and distances in Å follow each position.
Element x y z (fractional)
La: 0.0000 0.0000 0.0000  6 Si 3.18
Si: 0.2328 0.2328 0.2328  3 As 2.62
Si: 0.7672 0.7672 0.7672  3 As 2.62
As: 0.5000 0.5000 0.5000  6 Si 2.62

[6]
Entry from Alexandria via LeMat-Bulk: LaSiAs after structural relaxation (PBE).

**ΔE_f (raw)**: -722 meV/atom

abc: 4.3867 4.3867 4.2021
angles: 90.00 90.00 120.00
Closest atoms and distances in Å follow each position.
Element x y z (fractional)
La: 0.0000 0.0000 0.0000  6 Si 3.29, 6 As 3.29
Si: 0.6667 0.3333 0.5012  3 As 2.53
As: 0.3333 0.6667 0.4990  3 Si 2.53

[7]
Entry from Alexandria via LeMat-Bulk: LaSiAs2 after structural relaxation (PBE).

**ΔE_f (raw)**: -385 meV/atom

abc: 7.2594 7.2594 7.2594
angles: 31.69 31.69 31.69
Closest atoms and distances in Å follow each position.
Element x y z (fractional)
La: 0.0000 0.0000 0.0000  6 As 3.07
Si: 0.5000 0.5000 0.5000  6 As 2.68
As: 0.2344 0.2344 0.2344  3 Si 2.68
As: 0.7656 0.7656 0.7656  3 Si 2.68

[8]
Entry from Alexandria via LeMat-Bulk: LaSiAs2 after structural relaxation (PBE).

**ΔE_f (raw)**: -474 meV/atom

abc: 4.9911 4.9911 5.1084
angles: 108.80 108.80 48.53
Closest atoms and distances in Å follow each position.
Element x y z (fractional)
La: 0.0000 0.0000 0.0000  8 As 3.14-3.29, 4 Si 3.28
Si: 0.5000 0.5000 0.5000  6 As 2.77-2.90
As: 0.2181 0.2181 0.6411  2 As 2.69, 3 Si 2.77-2.90
As: 0.7819 0.7819 0.3589  2 As 2.69, 3 Si 2.77-2.90